DFT (GGA+U) results for LiFeF4 after structural relaxation.

Lattice parameters (Å, degrees): 5.595 5.595 6.427 52.75 52.75 31.19
Each line ends with the local moment (μB).
Fractional positions:
1 Li 0.500 0.500 0.500  0.00
2 F 0.345 0.345 0.172  0.14
3 Fe 0.000 0.000 0.000  4.46
4 F 0.990 0.990 0.711  0.09
5 F 0.010 0.010 0.289  0.09
6 F 0.655 0.655 0.828  0.14

Computed properties:
Its distance to the lowest polymorph of the same formula is 0.049 eV per atom. The space group is C2/m (12).